Entry 1:
Below is a relaxed Co2W11 crystal, with properties calculated at the PBE level.

The structure in CIF format:
```
data_Co2W11
_space_group_name_H-M_alt 'R -3 m'
_space_group_IT_number 166
_space_group_name_Hall '-R 3 2"'
_cell_length_a 5.1595
_cell_length_b 5.1595
_cell_length_c 27.2202
_cell_angle_alpha 90.00
_cell_angle_beta 90.00
_cell_angle_gamma 120.00
loop_
_atom_site_label
_atom_site_fract_x
_atom_site_fract_y
_atom_site_fract_z
_atom_site_occupancy
Co1 0.0000 0.0000 0.0467 1
W1 0.0000 0.0000 0.1522 1
W2 0.0000 0.0000 0.3327 1
W3 0.0000 0.0000 0.5000 1
W4 0.0022 0.5011 0.9139 1
```

Results
energy relative to the lowest polymorph listed for this composition	0	meV per atom
formation energy	5.455	eV per formula unit
calculated volume	16.09	Å³/atom
magnetic moment	0.04	μB/cell

Entry 2:
Below is a relaxed Sm2Co2Hg crystal, with properties calculated at the PBE level.

The structure in CIF format:
```
data_Sm2Co2Hg
_space_group_name_H-M_alt 'C m m m'
_space_group_IT_number 65
_space_group_name_Hall '-C 2 2'
_cell_length_a 3.8857
_cell_length_b 13.8147
_cell_length_c 3.9904
_cell_angle_alpha 90.00
_cell_angle_beta 90.00
_cell_angle_gamma 90.00
loop_
_atom_site_label
_atom_site_fract_x
_atom_site_fract_y
_atom_site_fract_z
_atom_site_occupancy
Sm1 0.0000 0.1349 0.0000 1
Co1 0.0000 0.2906 0.5000 1
Hg1 0.0000 0.5000 0.5000 1
```

Results
formation energy	-1.394	eV per formula unit
calculated volume	21.42	Å³/atom
magnetic moment	3.21	μB/cell

Entry 3:
Below is a relaxed Y2In3W4C3 crystal, with properties calculated at the PBE level.

The structure in CIF format:
```
data_Y2In3W4C3
_space_group_name_H-M_alt 'C 1 2/c 1'
_space_group_IT_number 15
_space_group_name_Hall '-C 2yc'
_cell_length_a 9.8865
_cell_length_b 5.7472
_cell_length_c 14.4428
_cell_angle_alpha 90.00
_cell_angle_beta 103.65
_cell_angle_gamma 90.00
loop_
_atom_site_label
_atom_site_fract_x
_atom_site_fract_y
_atom_site_fract_z
_atom_site_occupancy
Y1 0.0391 0.0787 0.3867 1
In1 0.0000 0.4494 0.7500 1
In2 0.2349 0.1494 0.7525 1
W1 0.1078 0.4043 0.5692 1
W2 0.2321 0.4246 0.9310 1
C1 0.0854 0.2561 0.9997 1
C2 0.2500 0.2500 0.5000 1
```

Results
calculated volume	16.61	Å³/atom
magnetic moment	0.01	μB/cell

Entry 4:
Below is a relaxed AgBiF4 crystal, with properties calculated at the PBE level.

The structure in CIF format:
```
data_AgBiF4
_space_group_name_H-M_alt 'I 41/a'
_space_group_IT_number 88
_cell_length_a 5.5009
_cell_length_b 5.5009
_cell_length_c 11.2068
_cell_angle_alpha 90.00
_cell_angle_beta 90.00
_cell_angle_gamma 90.00
loop_
_space_group_symop_operation_xyz
'x,y,z'
'-x,-y,-z'
'-y+3/4,x+1/4,z+1/4'
'y+3/4,-x+1/4,-z+1/4'
'-x+1/2,-y,z+1/2'
'x+1/2,y,-z+1/2'
'y+3/4,-x+3/4,z+3/4'
'-y+3/4,x+3/4,-z+3/4'
'x+1/2,y+1/2,z+1/2'
'-x+1/2,-y+1/2,-z+1/2'
'-y+1/4,x+3/4,z+3/4'
'y+1/4,-x+3/4,-z+3/4'
'-x,-y+1/2,z'
'x,y+1/2,-z'
'y+1/4,-x+1/4,z+1/4'
'-y+1/4,x+1/4,-z+1/4'
loop_
_atom_site_label
_atom_site_fract_x
_atom_site_fract_y
_atom_site_fract_z
_atom_site_occupancy
Ag1 0.0000 0.2500 0.1250 1
Bi1 0.0000 0.2500 0.6250 1
F1 0.2351 0.4972 0.4984 1
```

Results
calculated volume	14.13	Å³/atom

Entry 5:
Below is a relaxed YCdPd2 crystal, with properties calculated at the PBE level.

The structure in CIF format:
```
data_YCdPd2
_space_group_name_H-M_alt 'P m m n'
_space_group_IT_number 59
_cell_length_a 4.9452
_cell_length_b 6.2639
_cell_length_c 5.0218
_cell_angle_alpha 90.00
_cell_angle_beta 90.00
_cell_angle_gamma 90.00
loop_
_space_group_symop_operation_xyz
'x,y,z'
'-x,-y,-z'
'-x+1/2,-y+1/2,z'
'x+1/2,y+1/2,-z'
'x+1/2,-y,-z'
'-x+1/2,y,z'
'-x,y+1/2,-z'
'x,-y+1/2,z'
loop_
_atom_site_label
_atom_site_fract_x
_atom_site_fract_y
_atom_site_fract_z
_atom_site_occupancy
Y1 0.2500 0.2500 0.2092 1
Cd1 0.2500 0.7500 0.2252 1
Pd1 0.2500 0.0010 0.7074 1
```

Results
formation energy	-2.912	eV per formula unit
calculated volume	19.44	Å³/atom
magnetic moment	0.00	μB/cell

Entry 6:
Below is a relaxed Nd2GdSn3Pd2Pt crystal, with properties calculated at the PBE level.

The structure in CIF format:
```
data_Nd2GdSn3Pd2Pt
_space_group_name_H-M_alt 'A m m 2'
_space_group_IT_number 38
_space_group_name_Hall 'A 2 -2'
_cell_length_a 4.1073
_cell_length_b 13.2120
_cell_length_c 7.6372
_cell_angle_alpha 90.00
_cell_angle_beta 90.00
_cell_angle_gamma 90.00
loop_
_atom_site_label
_atom_site_fract_x
_atom_site_fract_y
_atom_site_fract_z
_atom_site_occupancy
Nd1 0.0000 0.2043 0.0000 1
Gd1 0.0000 0.0000 0.3886 1
Sn1 0.5000 0.0000 0.0494 1
Sn2 0.5000 0.1264 0.6670 1
Pd1 0.5000 0.1637 0.2963 1
Pt1 0.0000 0.0000 0.7917 1
```

Results
calculated volume	23.02	Å³/atom
magnetic moment	0.01	μB/cell

Entry 7:
Below is a relaxed SmHgPO crystal, with properties calculated at the PBE level.

The structure in CIF format:
```
data_SmHgPO
_space_group_name_H-M_alt 'P m c 21'
_space_group_IT_number 26
_space_group_name_Hall 'P 2c -2'
_cell_length_a 4.3149
_cell_length_b 6.9757
_cell_length_c 6.0158
_cell_angle_alpha 90.00
_cell_angle_beta 90.00
_cell_angle_gamma 90.00
loop_
_atom_site_label
_atom_site_fract_x
_atom_site_fract_y
_atom_site_fract_z
_atom_site_occupancy
Sm1 0.0000 0.2160 0.0000 1
Hg1 0.5000 0.3529 0.5114 1
P1 0.0000 0.1915 0.4992 1
O1 0.5000 0.3089 0.0008 1
```

Results
energy relative to the lowest polymorph listed for this composition	256	meV per atom
calculated volume	22.63	Å³/atom
magnetic moment	0.00	μB/cell

Entry 8:
Below is a relaxed TbPm6S8 crystal, with properties calculated at the PBE level.

The structure in CIF format:
```
data_TbPm6S8
_space_group_name_H-M_alt 'F m -3 m'
_space_group_IT_number 225
_space_group_name_Hall '-F 4 2 3'
_cell_length_a 11.3569
_cell_length_b 11.3569
_cell_length_c 11.3569
_cell_angle_alpha 90.00
_cell_angle_beta 90.00
_cell_angle_gamma 90.00
loop_
_atom_site_label
_atom_site_fract_x
_atom_site_fract_y
_atom_site_fract_z
_atom_site_occupancy
Tb1 0.0000 0.0000 0.0000 1
Pm1 0.0000 0.2500 0.2500 1
S1 0.0000 0.0000 0.2454 1
S2 0.2500 0.2500 0.2500 1
```

Results
calculated volume	24.41	Å³/atom
magnetic moment	0.03	μB/cell

Entry 9:
Below is a relaxed LaLuMgPd crystal, with properties calculated at the PBE level.

The structure in CIF format:
```
data_LaLuMgPd
_space_group_name_H-M_alt 'F -4 3 m'
_space_group_IT_number 216
_space_group_name_Hall 'F -4 2 3'
_cell_length_a 7.3613
_cell_length_b 7.3613
_cell_length_c 7.3613
_cell_angle_alpha 90.00
_cell_angle_beta 90.00
_cell_angle_gamma 90.00
loop_
_atom_site_label
_atom_site_fract_x
_atom_site_fract_y
_atom_site_fract_z
_atom_site_occupancy
La1 0.0000 0.0000 0.0000 1
Lu1 0.0000 0.0000 0.5000 1
Mg1 0.2500 0.2500 0.2500 1
Pd1 0.2500 0.2500 0.7500 1
```

Results
energy relative to the lowest polymorph listed for this composition	0	meV per atom
calculated volume	24.93	Å³/atom
magnetic moment	0.00	μB/cell

Entry 10:
Below is a relaxed LuAlZn2 crystal, with properties calculated at the PBE level.

The structure in CIF format:
```
data_LuAlZn2
_space_group_name_H-M_alt 'F -4 3 m'
_space_group_IT_number 216
_space_group_name_Hall 'F -4 2 3'
_cell_length_a 6.6218
_cell_length_b 6.6218
_cell_length_c 6.6218
_cell_angle_alpha 90.00
_cell_angle_beta 90.00
_cell_angle_gamma 90.00
loop_
_atom_site_label
_atom_site_fract_x
_atom_site_fract_y
_atom_site_fract_z
_atom_site_occupancy
Lu1 0.0000 0.0000 0.0000 1
Al1 0.2500 0.2500 0.7500 1
Zn1 0.0000 0.0000 0.5000 1
Zn2 0.2500 0.2500 0.2500 1
```

Results
calculated volume	18.15	Å³/atom
magnetic moment	0.00	μB/cell

Entry 11:
Below is a relaxed Tb2HoGe3PdPt2 crystal, with properties calculated at the PBE level.

The structure in CIF format:
```
data_Tb2HoGe3PdPt2
_space_group_name_H-M_alt 'A m m 2'
_space_group_IT_number 38
_space_group_name_Hall 'A 2 -2'
_cell_length_a 3.9171
_cell_length_b 12.5283
_cell_length_c 7.2521
_cell_angle_alpha 90.00
_cell_angle_beta 90.00
_cell_angle_gamma 90.00
loop_
_atom_site_label
_atom_site_fract_x
_atom_site_fract_y
_atom_site_fract_z
_atom_site_occupancy
Tb1 0.0000 0.2033 0.0000 1
Ho1 0.0000 0.0000 0.3904 1
Ge1 0.5000 0.0000 0.0518 1
Ge2 0.5000 0.1272 0.6685 1
Pd1 0.0000 0.0000 0.7947 1
Pt1 0.5000 0.1654 0.2971 1
```

Results
calculated volume	19.77	Å³/atom
magnetic moment	0.00	μB/cell

Short version: total DFT energy (no corrections) = -11.640 -5.065 -8.540 -4.308 -5.156 -5.698 -5.128 -6.478 -4.414 -2.863 -6.017 eV/atom, in the order given.